DFT (PBE) results for crystalline Pu3Ag2O10 at its relaxed geometry.

Output
- ΔE_f (raw): -1.928 eV per atom
- SG: No. 2

Cell: 6.7802 8.6316 10.1981 Å, 111.50 109.07 91.24°
Closest atoms and distances in Å follow each position.
Fractional positions:
Pu: 0.1220 0.4733 0.1668  3 O 1.94-2.10
Pu: 0.1873 0.9981 0.3706  2 O 1.82-1.89
Pu: 0.2495 0.0020 0.9998  3 O 1.89-2.10
Pu: 0.7505 0.9980 0.0002  3 O 1.89-2.10
Pu: 0.8127 0.0019 0.6294  2 O 1.82-1.89
Pu: 0.8780 0.5267 0.8332  3 O 1.94-2.10
Ag: 0.2963 0.5216 0.5335  3 O 2.18-2.34
Ag: 0.3883 0.5452 0.8704  3 O 2.21-2.34
Ag: 0.6117 0.4548 0.1296  3 O 2.21-2.34
Ag: 0.7037 0.4784 0.4665  3 O 2.18-2.34
O: 0.0000 0.0000 0.5000  2 Pu 2.11
O: 0.0235 0.4766 0.3257  1 Pu 1.94
O: 0.0366 0.1821 0.0562  3 Pu 2.19-2.31
O: 0.1408 0.9952 0.8011  1 Pu 1.89
O: 0.1495 0.7606 0.2772  1 Pu 1.89
O: 0.1817 0.5006 0.9860  2 Pu 2.10-2.21, 1 Ag 2.21
O: 0.2299 0.2277 0.4534  1 Pu 1.82
O: 0.3405 0.0105 0.1992  1 Pu 1.90
O: 0.4267 0.4615 0.2753  1 Pu 2.02, 2 Ag 2.18-2.22
O: 0.4637 0.8384 0.9495  2 Pu 2.10-2.16, 1 Ag 2.34
O: 0.5000 0.0000 0.5000  2 Pu 2.10
O: 0.5363 0.1616 0.0505  2 Pu 2.10-2.16, 1 Ag 2.34
O: 0.5733 0.5385 0.7247  1 Pu 2.02, 2 Ag 2.18-2.22
O: 0.6595 0.9895 0.8008  1 Pu 1.90
O: 0.7701 0.7723 0.5466  1 Pu 1.82
O: 0.8183 0.4994 0.0140  2 Pu 2.10-2.21, 1 Ag 2.21
O: 0.8505 0.2394 0.7228  1 Pu 1.89
O: 0.8592 0.0048 0.1989  1 Pu 1.89
O: 0.9634 0.8179 0.9438  3 Pu 2.19-2.31
O: 0.9765 0.5234 0.6743  1 Pu 1.94

***

DFT (PBE) results for crystalline LuPuMo4 at its relaxed geometry.

Output
- Energy of formation from the pure elements: 0.197 eV/atom
- SG: No. 216

Cell: 5.4684 5.4684 5.4684 Å, 60.00 60.00 60.00°
Closest atoms and distances in Å follow each position.
Fractional positions:
Lu: 0.0000 0.0000 0.0000  12 Mo 3.21, 4 Pu 3.35
Pu: 0.2500 0.2500 0.2500  12 Mo 3.21, 4 Lu 3.35
Mo: 0.1257 0.6248 0.6248  6 Mo 2.73-2.74
Mo: 0.6248 0.1257 0.6248  6 Mo 2.73-2.74
Mo: 0.6248 0.6248 0.1257  6 Mo 2.73-2.74
Mo: 0.6248 0.6248 0.6248  6 Mo 2.73-2.74

***

DFT (PBE) results for crystalline Sr2ScAgSb at its relaxed geometry.

Output
- ΔE_f (raw): -0.008 eV per atom
- SG: No. 123

Cell: 6.2642 6.2642 5.4047 Å, 90.00 90.00 90.00°
Closest atoms and distances in Å follow each position.
Fractional positions:
Sr: 0.0000 0.5000 0.0000  2 Sb 3.13
Sr: 0.5000 0.0000 0.0000  2 Sb 3.13
Sc: 0.0000 0.0000 0.5000  2 Sb 2.70
Ag: 0.5000 0.5000 0.5000  8 Sr 4.14, 4 Sc 4.43
Sb: 0.0000 0.0000 0.0000  2 Sc 2.70

***

DFT (PBE) results for crystalline KAsPt2 at its relaxed geometry.

Output
- Energy of formation from the pure elements: 0.276 eV/atom
- SG: No. 65

Cell: 6.0675 8.4635 2.9271 Å, 90.00 90.00 90.00°
Closest atoms and distances in Å follow each position.
Fractional positions:
K: 0.0000 0.0000 0.0000  2 K 2.93, 8 Pt 2.99, 2 As 3.03
K: 0.5000 0.5000 0.0000  2 K 2.93, 8 Pt 2.99, 2 As 3.03
As: 0.0000 0.5000 0.0000  2 As 2.93, 8 Pt 2.99, 2 K 3.03
As: 0.5000 0.0000 0.0000  2 As 2.93, 8 Pt 2.99, 2 K 3.03
Pt: 0.2500 0.2500 0.5000  4 Pt 2.93-3.03, 4 As 2.99, 4 K 2.99
Pt: 0.2500 0.7500 0.5000  4 Pt 2.93-3.03, 4 As 2.99, 4 K 2.99
Pt: 0.7500 0.2500 0.5000  4 Pt 2.93-3.03, 4 As 2.99, 4 K 2.99
Pt: 0.7500 0.7500 0.5000  4 Pt 2.93-3.03, 4 As 2.99, 4 K 2.99

***

DFT (PBE) results for crystalline Zr4Cu3Tc at its relaxed geometry.

Output
- Energy of formation from the pure elements: -0.200 eV/atom
- SG: No. 123

Cell: 3.2994 3.2994 13.0546 Å, 90.00 90.00 90.00°
Closest atoms and distances in Å follow each position.
Fractional positions:
Zr: 0.0000 0.0000 0.1219  4 Tc 2.82, 4 Cu 2.86
Zr: 0.0000 0.0000 0.3744  8 Cu 2.85
Zr: 0.0000 0.0000 0.6256  8 Cu 2.85
Zr: 0.0000 0.0000 0.8781  4 Tc 2.82, 4 Cu 2.86
Cu: 0.5000 0.5000 0.2489  8 Zr 2.85-2.86
Cu: 0.5000 0.5000 0.5000  8 Zr 2.85
Cu: 0.5000 0.5000 0.7511  8 Zr 2.85-2.86
Tc: 0.5000 0.5000 0.0000  8 Zr 2.82

***

> Which formula does entry 1 have?

Pu3Ag2O10

***

Copy entry 3 word for word.
DFT (PBE) results for crystalline Sr2ScAgSb at its relaxed geometry.

Output
- ΔE_f (raw): -0.008 eV per atom
- SG: No. 123

Cell: 6.2642 6.2642 5.4047 Å, 90.00 90.00 90.00°
Closest atoms and distances in Å follow each position.
Fractional positions:
Sr: 0.0000 0.5000 0.0000  2 Sb 3.13
Sr: 0.5000 0.0000 0.0000  2 Sb 3.13
Sc: 0.0000 0.0000 0.5000  2 Sb 2.70
Ag: 0.5000 0.5000 0.5000  8 Sr 4.14, 4 Sc 4.43
Sb: 0.0000 0.0000 0.0000  2 Sc 2.70